# 1
This record from Alexandria via LeMat-Bulk describes a relaxed Ta2TiAgRh crystal. The functional is PBE.

```
Ta2TiAgRh
1.0
-1.317 -2.599 3.723
4.739 -1.165 0.863
0.423 3.789 2.795
Ti Rh Ag Ta
1 1 1 2
direct
0.500 0.500 0.500 Ti
0.000 0.000 0.000 Rh
0.000 0.500 0.000 Ag
0.000 0.000 0.500 Ta
0.500 0.000 0.000 Ta
```

The value obtained for the density of states at the Fermi level is 8.253 states/eV/cell. The electronic total energy is -36.13 eV per formula unit.

=====

# 2
This record from Alexandria via LeMat-Bulk describes a relaxed TbAgRh crystal. The functional is PBE.

```
TbAgRh
1.0
3.559 0.000 0.000
0.000 3.559 0.000
-1.779 -1.779 4.710
Tb Rh Ag
1 1 1
direct
0.939 0.939 0.877 Tb
0.287 0.287 0.573 Rh
0.625 0.625 0.249 Ag
```

The relative energy among the computed polymorphs comes out at 97.1 meV/atom. The value obtained for the density of states at the Fermi level is 1.990 states/eV/cell.

=====

# 3
This record from Alexandria via LeMat-Bulk describes a relaxed Tb12AgRh6 crystal. The functional is PBE.

```
Tb12AgRh6
1.0
8.081 0.000 -2.857
-4.041 6.999 -2.857
0.000 0.000 8.572
Tb Ag Rh
12 1 6
direct
0.301 0.113 0.812 Tb
0.301 0.489 0.188 Tb
0.699 0.511 0.812 Tb
0.699 0.887 0.188 Tb
0.113 0.812 0.301 Tb
0.489 0.188 0.301 Tb
0.511 0.812 0.699 Tb
0.887 0.188 0.699 Tb
0.812 0.301 0.113 Tb
0.188 0.301 0.489 Tb
0.812 0.699 0.511 Tb
0.188 0.699 0.887 Tb
0.000 0.000 0.000 Ag
0.368 0.500 0.868 Rh
0.632 0.500 0.132 Rh
0.500 0.868 0.368 Rh
0.500 0.132 0.632 Rh
0.868 0.368 0.500 Rh
0.132 0.632 0.500 Rh
```

The relative energy among the computed polymorphs comes out at 0.0 meV/atom. The value obtained for the density of states at the Fermi level is 17.643 states/eV/cell.

=====

# 4
This record from Alexandria via LeMat-Bulk describes a relaxed Tb5Ag2Rh2 crystal. The functional is PBE.

```
Tb5Ag2Rh2
1.0
-2.857 5.868 -3.885
2.305 -3.092 -6.365
-8.012 -2.225 2.530
Tb Ag Rh
10 4 4
direct
0.000 0.000 0.000 Tb
0.500 0.500 0.000 Tb
0.828 0.796 0.252 Tb
0.172 0.456 0.252 Tb
0.328 0.956 0.252 Tb
0.672 0.296 0.252 Tb
0.172 0.204 0.748 Tb
0.828 0.544 0.748 Tb
0.672 0.044 0.748 Tb
0.328 0.704 0.748 Tb
0.000 0.212 0.424 Ag
0.500 0.712 0.424 Ag
0.000 0.788 0.576 Ag
0.500 0.288 0.576 Ag
0.635 0.866 0.000 Rh
0.365 0.134 0.000 Rh
0.135 0.634 0.000 Rh
0.865 0.366 0.000 Rh
```

The value obtained for the density of states at the Fermi level is 13.883 states/eV/cell. The electronic total energy is -48.31 eV per formula unit.

=====

# 5
This record from Alexandria via LeMat-Bulk describes a relaxed TbAgRh crystal. The functional is PBE.

```
TbAgRh
1.0
3.385 0.000 0.000
0.000 4.598 0.000
0.000 -2.299 3.982
Rh Tb Ag
1 1 1
direct
0.166 0.333 0.667 Rh
0.667 0.667 0.333 Tb
0.167 0.000 0.000 Ag
```

The relative energy among the computed polymorphs comes out at 147.0 meV/atom. The value obtained for the density of states at the Fermi level is 1.884 states/eV/cell.

=====

# 6
This record from Alexandria via LeMat-Bulk describes a relaxed TbAgRh crystal. The functional is PBE.

```
TbAgRh
1.0
4.923 0.001 0.000
-2.460 4.264 0.000
0.000 0.000 5.666
Tb Ag Rh
2 2 2
direct
0.667 0.833 0.750 Tb
0.333 0.167 0.250 Tb
0.000 0.500 0.000 Ag
0.000 0.500 0.500 Ag
0.333 0.167 0.750 Rh
0.667 0.833 0.250 Rh
```

The relative energy among the computed polymorphs comes out at 14.8 meV/atom. The value obtained for the density of states at the Fermi level is 3.491 states/eV/cell.

=====

- Number 4 is which compound?
  Tb5Ag2Rh2